(1)
Density functional theory data (PBE) for a relaxed structure of ZrHg2Cl.

Output
Its symmetry is R3m, No. 160. The density is 8.71 Mg/m³. The value obtained for the magnetic moment is 0.00 μB/cell. Its crystal system is trigonal. The uncorrected formation energy is -538 meV/atom. The value obtained for the distance to the lowest polymorph of the same formula is 0.00 eV/f.u.

Cell lengths 3.3499, 3.3499, 31.0529 Å; angles 90.00, 90.00, 120.00 degrees
Fractional positions:
Zr 0.0000 0.0000 0.0000
Zr 0.3333 0.6667 0.6667
Zr 0.6667 0.3333 0.3333
Hg 0.0000 0.0000 0.2572
Hg 0.0000 0.0000 0.5054
Hg 0.3333 0.6667 0.1721
Hg 0.3333 0.6667 0.9238
Hg 0.6667 0.3333 0.5905
Hg 0.6667 0.3333 0.8388
Cl 0.0000 0.0000 0.7239
Cl 0.3333 0.6667 0.3906
Cl 0.6667 0.3333 0.0573

(2)
Density functional theory data (PBE) for a relaxed structure of Zn2CuP.

Output
Its symmetry is I-42d, No. 122. As for the formation energy: 0.31 eV per atom. The density is 4.39 Mg/m³. The value obtained for the magnetic moment is 0.00 μB/cell. Its crystal system is tetragonal.

Cell lengths 5.3595, 5.3595, 11.8817 Å; angles 90.00, 90.00, 90.00 degrees
Fractional positions:
Zn 0.2175 0.2500 0.1250
Zn 0.2500 0.7175 0.3750
Zn 0.2500 0.7825 0.8750
Zn 0.2825 0.2500 0.6250
Zn 0.7175 0.7500 0.6250
Zn 0.7500 0.2175 0.8750
Zn 0.7500 0.2825 0.3750
Zn 0.7825 0.7500 0.1250
Cu 0.0000 0.0000 0.5000
Cu 0.0000 0.5000 0.7500
Cu 0.5000 0.0000 0.2500
Cu 0.5000 0.5000 0.0000
P 0.0000 0.0000 0.0000
P 0.0000 0.5000 0.2500
P 0.5000 0.0000 0.7500
P 0.5000 0.5000 0.5000

(3)
Density functional theory data (PBE) for a relaxed structure of Pr6As5S.

Output
Its symmetry is C2/m, No. 12. The density is 6.25 Mg/m³. The value obtained for the magnetic moment is 0.00 μB/cell. Its crystal system is monoclinic. The uncorrected formation energy is -1616 meV/atom.

Cell lengths 7.4096, 7.4096, 7.4144 Å; angles 99.58, 99.58, 119.97 degrees
Fractional positions:
Pr 0.0833 0.4160 0.7496
Pr 0.2492 0.2492 0.2492
Pr 0.4160 0.0833 0.7496
Pr 0.5840 0.9167 0.2504
Pr 0.7508 0.7508 0.7508
Pr 0.9167 0.5840 0.2504
As 0.1673 0.8327 0.0000
As 0.3333 0.6667 0.5000
As 0.5000 0.5000 0.0000
As 0.6667 0.3333 0.5000
As 0.8327 0.1673 0.0000
S 0.0000 0.0000 0.5000

(4)
Density functional theory data (PBE) for a relaxed structure of Y3CoNi8.

Output
Its symmetry is R3m, No. 160. As for the formation energy: -0.29 eV per atom. The density is 7.53 Mg/m³. The value obtained for the magnetic moment is 3.00 μB/cell. Its crystal system is trigonal.

Cell lengths 8.6330, 8.6330, 8.6330 Å; angles 33.57, 33.57, 33.57 degrees
Fractional positions:
Y 0.0000 0.0000 0.0000
Y 0.1306 0.1306 0.1306
Y 0.5212 0.5212 0.5212
Co 0.6464 0.6464 0.6464
Ni 0.0663 0.5686 0.5686
Ni 0.0726 0.0726 0.5667
Ni 0.0726 0.5667 0.0726
Ni 0.3188 0.3188 0.3188
Ni 0.5667 0.0726 0.0726
Ni 0.5686 0.0663 0.5686
Ni 0.5686 0.5686 0.0663
Ni 0.8197 0.8197 0.8197

(5)
Density functional theory data (PBE) for a relaxed structure of NpGaPt3.

Output
Its symmetry is Cmcm, No. 63. As for the formation energy: -0.54 eV per atom. The density is 16.25 Mg/m³. The value obtained for the magnetic moment is 8.22 μB/cell. Its crystal system is orthorhombic.

Cell lengths 6.8192, 6.8192, 5.1991 Å; angles 90.00, 90.00, 131.07 degrees
Fractional positions:
Np 0.0721 0.9279 0.7500
Np 0.9279 0.0721 0.2500
Ga 0.3210 0.6790 0.2500
Ga 0.6790 0.3210 0.7500
Pt 0.0921 0.4146 0.7500
Pt 0.4146 0.0921 0.2500
Pt 0.5000 0.5000 0.0000
Pt 0.5000 0.5000 0.5000
Pt 0.5854 0.9079 0.7500
Pt 0.9079 0.5854 0.2500

(6)
Density functional theory data (PBE) for a relaxed structure of ZrCrCd2.

Output
Its symmetry is Pmm2, No. 25. As for the formation energy: 0.24 eV per atom. The density is 7.53 Mg/m³. The value obtained for the magnetic moment is 3.40 μB/cell. Its crystal system is orthorhombic. The value obtained for the distance to the lowest polymorph of the same formula is 0.48 eV/f.u.

Cell lengths 3.1345, 4.8820, 5.3070 Å; angles 90.00, 90.00, 90.00 degrees
Fractional positions:
Zr 0.0000 0.0000 0.0000
Cr 0.0000 0.5000 0.3147
Cd 0.5000 0.0000 0.4934
Cd 0.5000 0.5000 0.8186

(7)
Density functional theory data (PBE) for a relaxed structure of Na3ZrI.

Output
Its symmetry is Pm-3m, No. 221. The density is 2.34 Mg/m³. The value obtained for the magnetic moment is 3.95 μB/cell. Its crystal system is cubic. The uncorrected formation energy is 525 meV/atom. The value obtained for the distance to the lowest polymorph of the same formula is 0.00 eV/f.u.

Cell lengths 5.8883, 5.8883, 5.8883 Å; angles 90.00, 90.00, 90.00 degrees
Fractional positions:
Na 0.0000 0.0000 0.5000
Na 0.0000 0.5000 0.0000
Na 0.5000 0.0000 0.0000
Zr 0.5000 0.5000 0.5000
I 0.0000 0.0000 0.0000

(8)
Density functional theory data (PBE) for a relaxed structure of CeZnSb.

Output
Its symmetry is P3m1, No. 156. The density is 7.14 Mg/m³. The value obtained for the magnetic moment is 1.01 μB/cell. Its crystal system is trigonal. The uncorrected formation energy is -589 meV/atom.

Cell lengths 4.4885, 4.4885, 4.3630 Å; angles 90.00, 90.00, 120.00 degrees
Fractional positions:
Ce 0.0000 0.0000 0.0000
Zn 0.3333 0.6667 0.3518
Sb 0.6667 0.3333 0.5366